Material: BaBeRu2
Method: DFT, PBE
State: relaxed

```
4
Lattice="-0.326 3.955 1.374 -1.903 2.868 -2.406 -5.903 0.957 2.188" Properties=species:S:1:pos:R:3 pbc="T T T"
Ru -3.317 6.571 -0.506
Ru -2.978 4.141 0.052
Ba -6.099 5.835 0.867
Be -2.033 1.945 0.289
```

Results
formation energy = 12 kJ/mol of atoms
DOS(E_F) = 0.94 states/eV per atom

---

Material: V2GaBi
Method: DFT, PBE
State: relaxed

```
4
Lattice="0.000 3.245 3.245 3.245 0.000 3.245 3.245 3.245 0.000" Properties=species:S:1:pos:R:3 pbc="T T T"
V 1.622 1.622 1.622
Ga 0.000 0.000 0.000
Bi 3.245 3.245 3.245
V 4.867 4.867 4.867
```

Results
distance to the lowest polymorph of the same formula = 0 kJ/mol of formula units
formation energy = 41 kJ/mol of atoms
DOS(E_F) = 1.77 states/eV per atom

---

Material: Ba5SiGe2
Method: DFT, PBE
State: relaxed

```
16
Lattice="-4.886 -3.762 5.953 2.362 -7.701 -2.928 7.749 5.703 3.793" Properties=species:S:1:pos:R:3 pbc="T T T"
Ba -1.262 -5.731 1.513
Ge -2.713 -3.109 3.301
Ge 0.189 -8.354 -0.276
Ba 0.734 -2.604 2.888
Ba -1.385 -5.540 5.463
Ba 4.759 3.116 3.636
Ge -2.929 -8.034 3.538
Ge 0.404 -3.429 -0.513
Ba 0.000 0.000 0.000
Ba 2.585 -5.939 0.608
Si 3.243 -0.014 2.653
Ba 6.610 -0.219 1.355
Ba 4.491 -3.156 3.931
Ba 0.465 -8.875 3.183
Ba 2.640 0.179 6.211
Si 1.981 -5.745 4.166
```

Results
energy = -3.464 eV/atom
DOS(E_F) = 0.46 states/eV per atom

---

Material: PmBHPd6
Method: DFT, PBE
State: relaxed

```
18
Lattice="-2.521 -6.619 2.038 0.924 -2.498 -6.971 5.724 3.050 3.660" Properties=species:S:1:pos:R:3 pbc="T T T"
Pd 4.751 -1.118 -3.387
Pd 4.191 0.396 0.836
H 2.862 1.525 1.830
Pd 2.599 -2.457 -4.767
Pd 1.528 -3.610 3.493
Pd 4.241 -1.853 -0.771
Pd -0.114 -4.215 -0.502
Pd 0.442 -2.151 1.252
Pm 2.891 -5.135 0.226
Pd 3.126 -2.403 1.698
Pm 1.236 -0.932 -1.499
H 1.602 -1.785 2.849
B -0.799 -4.558 -2.467
B -1.261 -3.310 1.019
Pd -0.624 -4.950 2.113
Pd 1.001 -3.665 -2.971
Pd 3.685 -3.916 -2.525
Pd -0.065 -6.463 -2.110
```

Results
energy = -5.444 eV/atom
DOS(E_F) = 0.48 states/eV per atom

---

Material: KZn2Ni
Method: DFT, PBE
State: relaxed

```
4
Lattice="3.592 0.000 0.000 0.000 2.787 0.009 0.000 2.752 7.769" Properties=species:S:1:pos:R:3 pbc="T T T"
Zn 0.000 2.765 4.569
Zn 0.000 2.757 7.089
Ni 1.796 4.155 5.833
K 1.796 1.385 1.944
```

Results
distance to the lowest polymorph of the same formula = 56 kJ/mol of formula units
formation energy = 14 kJ/mol of atoms
DOS(E_F) = 0.60 states/eV per atom

---

Material: PmTm5Ga6
Method: DFT, PBE
State: relaxed

```
12
Lattice="4.760 -0.029 1.586 0.038 7.090 0.013 0.000 -0.014 7.934" Properties=species:S:1:pos:R:3 pbc="T T T"
Tm 3.179 3.517 6.394
Ga 3.961 1.787 4.016
Pm 0.000 0.000 0.000
Ga 0.837 5.261 5.517
Ga 2.408 5.266 0.803
Tm 1.619 3.531 3.139
Tm 1.581 -0.014 3.191
Ga 0.819 1.801 5.511
Tm 3.179 -0.029 6.330
Tm 0.019 3.545 0.006
Ga 2.390 1.795 0.796
Ga 3.980 5.246 4.022
```

Results
formation energy = -55 kJ/mol of atoms
DOS(E_F) = 0.38 states/eV per atom

---

Material: InGeCl3
Method: DFT, PBE
State: relaxed

```
5
Lattice="4.604 0.000 0.000 0.000 4.604 0.000 0.000 0.000 8.107" Properties=species:S:1:pos:R:3 pbc="T T T"
Cl 0.000 0.000 6.291
Ge 2.302 2.302 4.542
In 0.000 0.000 0.847
Cl 0.000 2.302 3.336
Cl 2.302 0.000 3.336
```

Results
energy = -3.130 eV/atom
DOS(E_F) = 0.00 states/eV per atom

---

Material: Nd3Ni2Hg
Method: DFT, PBE
State: relaxed

```
12
Lattice="-3.729 0.388 1.452 -2.858 -0.512 -7.202 -0.637 -9.641 0.938" Properties=species:S:1:pos:R:3 pbc="T T T"
Nd -4.072 -2.715 -4.166
Hg -1.382 -1.013 -3.278
Nd -4.267 -8.494 -3.124
Ni -1.824 -6.967 -2.824
Nd -1.229 -4.309 -2.005
Ni -2.308 -4.074 0.727
Ni -3.002 -3.426 -6.795
Nd -2.944 -7.014 -0.122
Ni -3.814 -5.494 -2.760
Nd -2.371 -1.166 -0.212
Hg -3.345 -9.361 -6.091
Nd -2.748 -5.930 -5.473
```

Results
formation energy = -31 kJ/mol of atoms
DOS(E_F) = 0.81 states/eV per atom